Record 1
A relaxed structure of LuTh2In, computed with GGA-PBE.

Offset from the most stable computed form   194 meV per atom

```
16
Lattice="7.8238 0.0000 0.0000 0.0000 7.8238 0.0000 0.0000 0.0000 7.8238" Properties=species:S:1:pos:R:3 pbc="T T T"
Lu 0.0000 0.0000 0.0000
Lu 0.0000 3.9119 3.9119
Lu 3.9119 0.0000 3.9119
Lu 3.9119 3.9119 0.0000
Th 1.9560 1.9560 1.9560
Th 1.9560 1.9560 5.8679
Th 1.9560 5.8679 1.9560
Th 1.9560 5.8679 5.8679
Th 5.8679 1.9560 1.9560
Th 5.8679 1.9560 5.8679
Th 5.8679 5.8679 1.9560
Th 5.8679 5.8679 5.8679
In 0.0000 0.0000 3.9119
In 0.0000 3.9119 0.0000
In 3.9119 0.0000 0.0000
In 3.9119 3.9119 3.9119
```

=====

Record 2
A relaxed structure of SnAsRh, computed with GGA-PBE.

Offset from the most stable computed form   108 meV per atom

```
12
Lattice="6.2619 0.0000 0.0000 0.0000 6.2619 0.0000 0.0000 0.0000 6.2619" Properties=species:S:1:pos:R:3 pbc="T T T"
Sn 0.8535 2.2775 3.9845
Sn 2.2775 3.9845 0.8535
Sn 3.9845 0.8535 2.2775
Sn 5.4084 5.4084 5.4084
As 0.7886 0.7886 0.7886
As 2.3424 5.4734 3.9196
As 3.9196 2.3424 5.4734
As 5.4734 3.9196 2.3424
Rh 0.1841 6.0778 2.9469
Rh 2.9469 0.1841 6.0778
Rh 3.3151 3.3151 3.3151
Rh 6.0778 2.9469 0.1841
```

=====

Record 3
A relaxed structure of TmPaIrPt, computed with GGA-PBE.

Offset from the most stable computed form   242 meV per atom

```
16
Lattice="6.9314 0.0000 0.0000 0.0000 6.9314 0.0000 0.0000 0.0000 6.9314" Properties=species:S:1:pos:R:3 pbc="T T T"
Tm 0.0000 0.0000 0.0000
Tm 0.0000 3.4657 3.4657
Tm 3.4657 0.0000 3.4657
Tm 3.4657 3.4657 0.0000
Pa 0.0000 0.0000 3.4657
Pa 0.0000 3.4657 0.0000
Pa 3.4657 0.0000 0.0000
Pa 3.4657 3.4657 3.4657
Ir 1.7328 1.7328 5.1985
Ir 1.7328 5.1985 1.7328
Ir 5.1985 1.7328 1.7328
Ir 5.1985 5.1985 5.1985
Pt 1.7328 1.7328 1.7328
Pt 1.7328 5.1985 5.1985
Pt 5.1985 1.7328 5.1985
Pt 5.1985 5.1985 1.7328
```

=====

Record 4
A relaxed structure of Tm3Mg2Tl4, computed with GGA-PBE.

```
9
Lattice="5.7336 -2.4657 0.0000 5.7336 2.4657 0.0000 -4.7040 0.0000 8.1371" Properties=species:S:1:pos:R:3 pbc="T T T"
Tm 0.0000 0.0000 0.0000
Tm 2.5002 0.0000 2.5936
Tm 4.2631 0.0000 5.5435
Mg 0.8586 0.0000 5.5212
Mg 5.9046 0.0000 2.6160
Tl -1.1846 0.0000 3.0471
Tl -0.9452 0.0000 7.7663
Tl 7.7085 0.0000 0.3709
Tl 7.9479 0.0000 5.0901
```

=====

Going through the records in order, we get total magnetic moment values of 0.00 0.00 0.00 0.00 μB per formula unit.
Going through the records in order, we get formation energy from the elements values of 7 -86 -333 -178 kJ/mol of formula units.